1.
GGA+U PuSc2FeO8, optimized geometry; E_tot = -8.610 eV/atom; symmetry = Cmmm, No. 65
1.0
-1.3026 3.7721 -2.6992
-1.6625 -3.1512 -3.2409
-5.7700 0.0739 2.8878
Pu O Sc Fe
1 8 2 1
Direct
0.0000 0.0000 0.0000
0.1886 0.8111 0.2412
0.8114 0.1889 0.2412
0.1886 0.8111 0.7588
0.7016 0.7018 0.0000
0.2984 0.2982 0.0000
0.8114 0.1889 0.7588
0.2956 0.2953 0.5000
0.7044 0.7047 0.5000
0.5000 0.5000 0.2672
0.5000 0.5000 0.7328
0.0000 0.0000 0.5000

***

2.
GGA+U PuFeSeO2, optimized geometry; E_tot = -8.377 eV/atom; symmetry = Cmcm, No. 63; D(E_F) = 6.55 states/eV/f.u.
1.0
5.5294 0.0000 0.0000
0.0000 5.5725 0.0000
0.0000 -2.7862 5.6517
Pu Se O Fe
2 2 4 2
Direct
0.7500 0.3868 0.7737
0.2500 0.6132 0.2263
0.2500 0.2458 0.4917
0.7500 0.7542 0.5083
0.5000 0.7380 0.0000
0.0000 0.7380 0.0000
0.5000 0.2620 0.0000
0.0000 0.2620 0.0000
0.7500 0.9838 0.9675
0.2500 0.0162 0.0325

***

Look up the E_tot of the second one. -8.377 eV/atom